<one>
VASP calculation (PBE-GGA) on a geometry-optimized CsMg3Cl structure.

Cell and atoms, written as CIF:
```
data_CsMg3Cl
_cell_length_a 7.575
_cell_length_b 7.575
_cell_length_c 7.575
_cell_angle_alpha 90.00
_cell_angle_beta 90.00
_cell_angle_gamma 90.00
_space_group_name_H-M_alt 'P 1'
_space_group_IT_number 1
loop_
_space_group_symop_operation_xyz
'x,y,z'
loop_
_atom_site_label
_atom_site_type_symbol
_atom_site_fract_x
_atom_site_fract_y
_atom_site_fract_z
Cs1 Cs 0.000 0.000 0.000
Mg1 Mg 0.000 0.000 0.500
Mg2 Mg 0.000 0.500 0.000
Mg3 Mg 0.500 0.000 0.000
Cl1 Cl 0.500 0.500 0.500
```

## Properties
volume: 86.9 Å³/atom
DOS at the Fermi energy: 0.000 states/eV per atom


<two>
VASP calculation (PBE-GGA) on a geometry-optimized CsMg3Cl structure.

Cell and atoms, written as CIF:
```
data_CsMg3Cl
_cell_length_a 5.992
_cell_length_b 5.992
_cell_length_c 5.992
_cell_angle_alpha 90.00
_cell_angle_beta 90.00
_cell_angle_gamma 90.00
_space_group_name_H-M_alt 'P 1'
_space_group_IT_number 1
loop_
_space_group_symop_operation_xyz
'x,y,z'
loop_
_atom_site_label
_atom_site_type_symbol
_atom_site_fract_x
_atom_site_fract_y
_atom_site_fract_z
Cs1 Cs 0.000 0.000 0.000
Mg1 Mg 0.000 0.500 0.500
Mg2 Mg 0.500 0.000 0.500
Mg3 Mg 0.500 0.500 0.000
Cl1 Cl 0.500 0.500 0.500
```

## Properties
volume: 43.0 Å³/atom
DOS at the Fermi energy: 0.544 states/eV per atom


Tell me which of them is the least stable. Sure, it is <one>.


<one>
VASP calculation (PBE-GGA) on a geometry-optimized Cs2MgMnCl6 structure.

Cell and atoms, written as CIF:
```
data_Cs2MgMnCl6
_cell_length_a 7.268
_cell_length_b 7.268
_cell_length_c 7.268
_cell_angle_alpha 60.00
_cell_angle_beta 60.00
_cell_angle_gamma 60.00
_space_group_name_H-M_alt 'P 1'
_space_group_IT_number 1
loop_
_space_group_symop_operation_xyz
'x,y,z'
loop_
_atom_site_label
_atom_site_type_symbol
_atom_site_fract_x
_atom_site_fract_y
_atom_site_fract_z
Cs1 Cs 0.250 0.250 0.250
Cs2 Cs 0.750 0.750 0.750
Mg1 Mg 0.000 0.000 0.000
Mn1 Mn 0.500 0.500 0.500
Cl1 Cl 0.250 0.250 0.750
Cl2 Cl 0.250 0.750 0.250
Cl3 Cl 0.250 0.750 0.750
Cl4 Cl 0.750 0.250 0.250
Cl5 Cl 0.750 0.250 0.750
Cl6 Cl 0.750 0.750 0.250
```

## Properties
volume: 27.1 Å³/atom
DOS at the Fermi energy: 0.000 states/eV per atom


<two>
VASP calculation (PBE-GGA) on a geometry-optimized Cs2MgMnCl6 structure.

Cell and atoms, written as CIF:
```
data_Cs2MgMnCl6
_cell_length_a 12.845
_cell_length_b 12.845
_cell_length_c 12.845
_cell_angle_alpha 33.31
_cell_angle_beta 33.31
_cell_angle_gamma 33.31
_space_group_name_H-M_alt 'P 1'
_space_group_IT_number 1
loop_
_space_group_symop_operation_xyz
'x,y,z'
loop_
_atom_site_label
_atom_site_type_symbol
_atom_site_fract_x
_atom_site_fract_y
_atom_site_fract_z
Cs1 Cs 0.126 0.126 0.126
Cs2 Cs 0.290 0.290 0.290
Cs3 Cs 0.710 0.710 0.710
Cs4 Cs 0.874 0.874 0.874
Mg1 Mg 0.412 0.412 0.412
Mg2 Mg 0.588 0.588 0.588
Mn1 Mn 0.000 0.000 0.000
Mn2 Mn 0.500 0.500 0.500
Cl1 Cl 0.147 0.611 0.611
Cl2 Cl 0.206 0.206 0.708
Cl3 Cl 0.206 0.708 0.206
Cl4 Cl 0.292 0.794 0.794
Cl5 Cl 0.389 0.389 0.853
Cl6 Cl 0.389 0.853 0.389
Cl7 Cl 0.611 0.147 0.611
Cl8 Cl 0.611 0.611 0.147
Cl9 Cl 0.708 0.206 0.206
Cl10 Cl 0.794 0.292 0.794
Cl11 Cl 0.794 0.794 0.292
Cl12 Cl 0.853 0.389 0.389
```

## Properties
volume: 28.5 Å³/atom
DOS at the Fermi energy: 0.000 states/eV per atom


Tell me which of them is the least stable. Sure, it is <one>.


<one>
VASP calculation (PBE-GGA) on a geometry-optimized Cs2MgPdCl6 structure.

Cell and atoms, written as CIF:
```
data_Cs2MgPdCl6
_cell_length_a 12.876
_cell_length_b 12.876
_cell_length_c 12.876
_cell_angle_alpha 33.21
_cell_angle_beta 33.21
_cell_angle_gamma 33.21
_space_group_name_H-M_alt 'P 1'
_space_group_IT_number 1
loop_
_space_group_symop_operation_xyz
'x,y,z'
loop_
_atom_site_label
_atom_site_type_symbol
_atom_site_fract_x
_atom_site_fract_y
_atom_site_fract_z
Cs1 Cs 0.125 0.125 0.125
Cs2 Cs 0.292 0.292 0.292
Cs3 Cs 0.708 0.708 0.708
Cs4 Cs 0.875 0.875 0.875
Mg1 Mg 0.413 0.413 0.413
Mg2 Mg 0.587 0.587 0.587
Pd1 Pd 0.000 0.000 0.000
Pd2 Pd 0.500 0.500 0.500
Cl1 Cl 0.146 0.611 0.611
Cl2 Cl 0.207 0.207 0.708
Cl3 Cl 0.207 0.708 0.207
Cl4 Cl 0.292 0.793 0.793
Cl5 Cl 0.389 0.389 0.854
Cl6 Cl 0.389 0.854 0.389
Cl7 Cl 0.611 0.146 0.611
Cl8 Cl 0.611 0.611 0.146
Cl9 Cl 0.708 0.207 0.207
Cl10 Cl 0.793 0.292 0.793
Cl11 Cl 0.793 0.793 0.292
Cl12 Cl 0.854 0.389 0.389
```

## Properties
volume: 28.5 Å³/atom
DOS at the Fermi energy: 0.262 states/eV per atom


<two>
VASP calculation (PBE-GGA) on a geometry-optimized Cs2MgPdCl6 structure.

Cell and atoms, written as CIF:
```
data_Cs2MgPdCl6
_cell_length_a 7.272
_cell_length_b 7.272
_cell_length_c 7.272
_cell_angle_alpha 60.00
_cell_angle_beta 60.00
_cell_angle_gamma 60.00
_space_group_name_H-M_alt 'P 1'
_space_group_IT_number 1
loop_
_space_group_symop_operation_xyz
'x,y,z'
loop_
_atom_site_label
_atom_site_type_symbol
_atom_site_fract_x
_atom_site_fract_y
_atom_site_fract_z
Cs1 Cs 0.250 0.250 0.250
Cs2 Cs 0.750 0.750 0.750
Mg1 Mg 0.000 0.000 0.000
Pd1 Pd 0.500 0.500 0.500
Cl1 Cl 0.249 0.249 0.751
Cl2 Cl 0.249 0.751 0.249
Cl3 Cl 0.249 0.751 0.751
Cl4 Cl 0.751 0.249 0.249
Cl5 Cl 0.751 0.249 0.751
Cl6 Cl 0.751 0.751 0.249
```

## Properties
volume: 27.2 Å³/atom
DOS at the Fermi energy: 0.088 states/eV per atom


Tell me which of them is the least stable. Sure, it is <two>.


<one>
VASP calculation (PBE-GGA) on a geometry-optimized Cs2MgVCl6 structure.

Cell and atoms, written as CIF:
```
data_Cs2MgVCl6
_cell_length_a 7.220
_cell_length_b 7.220
_cell_length_c 7.220
_cell_angle_alpha 60.00
_cell_angle_beta 60.00
_cell_angle_gamma 60.00
_space_group_name_H-M_alt 'P 1'
_space_group_IT_number 1
loop_
_space_group_symop_operation_xyz
'x,y,z'
loop_
_atom_site_label
_atom_site_type_symbol
_atom_site_fract_x
_atom_site_fract_y
_atom_site_fract_z
Cs1 Cs 0.250 0.250 0.250
Cs2 Cs 0.750 0.750 0.750
Mg1 Mg 0.000 0.000 0.000
V1 V 0.500 0.500 0.500
Cl1 Cl 0.251 0.251 0.749
Cl2 Cl 0.251 0.749 0.251
Cl3 Cl 0.251 0.749 0.749
Cl4 Cl 0.749 0.251 0.251
Cl5 Cl 0.749 0.251 0.749
Cl6 Cl 0.749 0.749 0.251
```

## Properties
volume: 26.6 Å³/atom
DOS at the Fermi energy: 0.000 states/eV per atom


<two>
VASP calculation (PBE-GGA) on a geometry-optimized Cs2MgVCl6 structure.

Cell and atoms, written as CIF:
```
data_Cs2MgVCl6
_cell_length_a 12.739
_cell_length_b 12.739
_cell_length_c 12.739
_cell_angle_alpha 33.41
_cell_angle_beta 33.41
_cell_angle_gamma 33.41
_space_group_name_H-M_alt 'P 1'
_space_group_IT_number 1
loop_
_space_group_symop_operation_xyz
'x,y,z'
loop_
_atom_site_label
_atom_site_type_symbol
_atom_site_fract_x
_atom_site_fract_y
_atom_site_fract_z
Cs1 Cs 0.125 0.125 0.125
Cs2 Cs 0.291 0.291 0.291
Cs3 Cs 0.709 0.709 0.709
Cs4 Cs 0.875 0.875 0.875
Mg1 Mg 0.000 0.000 0.000
Mg2 Mg 0.500 0.500 0.500
V1 V 0.413 0.413 0.413
V2 V 0.587 0.587 0.587
Cl1 Cl 0.149 0.609 0.609
Cl2 Cl 0.207 0.207 0.708
Cl3 Cl 0.207 0.708 0.207
Cl4 Cl 0.292 0.793 0.793
Cl5 Cl 0.391 0.391 0.851
Cl6 Cl 0.391 0.851 0.391
Cl7 Cl 0.609 0.149 0.609
Cl8 Cl 0.609 0.609 0.149
Cl9 Cl 0.708 0.207 0.207
Cl10 Cl 0.793 0.292 0.793
Cl11 Cl 0.793 0.793 0.292
Cl12 Cl 0.851 0.391 0.391
```

## Properties
volume: 27.9 Å³/atom


Tell me which of them is the least stable. Sure, it is <one>.